Compound: GdEr2Cd
Source: OQMD via LeMat-Bulk
Functional: PBE
Structure: relaxed

Cell: 6.920 6.920 5.444 Å, 90.00 90.00 120.10°
Positions (direct):
Er (0.159, 0.328, 0.750)
Cd (0.835, 0.165, 0.250)
Gd (0.673, 0.327, 0.750)
Er (0.841, 0.672, 0.250)
Er (0.328, 0.159, 0.250)
Er (0.672, 0.841, 0.750)
Gd (0.327, 0.673, 0.250)
Cd (0.165, 0.835, 0.750)

**E_form**: -10 kJ per mole of atoms
**Symmetry**: Cmcm